BaTaTe2 | PBE-GGA | optimized geometry

Cell: 7.5798 7.5798 7.5798 Å, 34.73 34.73 34.73°
Closest atoms and distances in Å follow each position.
Positions (direct):
Te (0.2715, 0.2715, 0.2715)  3 Ta 2.93
Te (0.7285, 0.7285, 0.7285)  3 Ta 2.93
Ba (0.5000, 0.5000, 0.5000)  6 Te 3.44
Ta (0.0000, 0.0000, 0.0000)  6 Te 2.93

E = -5.51 eV per atom
formation energy without anion corrections = -0.498 eV/atom
crystal system = trigonal